TaCoAs2: relaxed, PBE.

The structure in POSCAR format:
```
TaCoAs2
1.0
-1.318 2.470 0.633
0.467 -0.470 2.793
7.401 4.089 -0.551
As Co Ta
2 1 1
direct
0.000 0.000 0.951
0.500 0.500 0.336
0.000 0.000 0.501
0.500 0.500 0.712
```

As for the calculated total energy: -28.780 eV/cell. The formation energy is -0.5 eV/f.u. As for the space group: P4mm (99). The calculation puts the density at 9.3 g/cm3.

=====

Ta2Co2As: relaxed, PBE.

The structure in POSCAR format:
```
Ta2Co2As
1.0
6.512 0.000 0.000
0.000 6.512 0.000
0.000 0.000 3.415
Ta Co As
4 4 2
direct
0.671 0.829 0.500
0.829 0.329 0.500
0.171 0.671 0.500
0.329 0.171 0.500
0.630 0.130 0.000
0.370 0.870 0.000
0.130 0.370 0.000
0.870 0.630 0.000
0.500 0.500 0.000
0.000 0.000 0.000
```

As for the calculated total energy: -86.382 eV/cell. The formation energy is -0.6 eV/f.u. As for the space group: P4/mbm (127). The calculation puts the density at 12.7 g/cm3.

=====

TaCo2As: relaxed, PBE.

The structure in POSCAR format:
```
TaCo2As
1.0
-2.911 0.262 -1.352
0.549 -2.677 -1.703
-2.069 -2.901 3.894
Co As Ta
2 1 1
direct
0.000 0.000 0.003
0.000 0.000 0.497
0.500 0.500 0.750
0.500 0.500 0.250
```

As for the calculated total energy: -31.375 eV/cell. The formation energy is -0.7 eV/f.u. As for the space group: P4/mmm (123). The calculation puts the density at 11.3 g/cm3.

=====

TaCo2As: relaxed, PBE.

The structure in POSCAR format:
```
TaCo2As
1.0
-4.220 1.487 1.785
-3.744 -0.578 -2.975
3.522 -2.548 2.076
Co As Ta
2 1 1
direct
0.246 0.746 0.500
0.974 0.974 0.000
0.769 0.269 0.500
0.511 0.511 0.000
```

As for the calculated total energy: -31.239 eV/cell. The formation energy is -0.5 eV/f.u. As for the space group: Imm2 (44). The calculation puts the density at 11.6 g/cm3.

=====

Ta2CoAs2: relaxed, PBE.

The structure in POSCAR format:
```
Ta2CoAs2
1.0
-6.489 -1.853 -1.194
-0.196 -3.215 6.049
-1.099 2.883 1.497
As Co Ta
4 2 4
direct
0.153 0.347 0.000
0.653 0.153 0.000
0.347 0.847 0.000
0.847 0.653 0.000
0.500 0.500 0.000
0.000 0.000 0.000
0.648 0.852 0.500
0.852 0.352 0.500
0.352 0.148 0.500
0.148 0.648 0.500
```

As for the calculated total energy: -80.749 eV/cell. The formation energy is -0.3 eV/f.u. As for the space group: P4/mbm (127). The calculation puts the density at 11.8 g/cm3.

=====

TaCo2As: relaxed, PBE.

The structure in POSCAR format:
```
TaCo2As
1.0
4.605 -0.004 -0.015
1.520 4.346 0.015
-2.905 -2.394 2.652
As Co Ta
1 2 1
direct
0.750 0.250 0.500
0.991 0.991 0.000
0.509 0.509 0.000
0.250 0.750 0.500
```

As for the calculated total energy: -31.187 eV/cell. The formation energy is -0.5 eV/f.u. As for the space group: Immm (71). The calculation puts the density at 11.7 g/cm3.

=====

TaCoAs2: relaxed, PBE.

The structure in POSCAR format:
```
TaCoAs2
1.0
-0.713 -1.238 4.169
-4.121 -0.556 1.460
-1.502 -4.051 0.869
As Co Ta
2 1 1
direct
0.750 0.750 0.750
0.250 0.250 0.250
0.000 0.000 0.000
0.500 0.500 0.500
```

As for the calculated total energy: -28.153 eV/cell. The formation energy is 0.1 eV/f.u. As for the space group: Fm-3m (225). The calculation puts the density at 10.7 g/cm3.

=====

TaCo2As: relaxed, PBE.

The structure in POSCAR format:
```
TaCo2As
1.0
3.240 0.000 0.000
0.000 3.239 0.000
0.000 0.000 5.234
Co As Ta
2 1 1
direct
0.000 0.000 0.975
0.500 0.500 0.256
0.500 0.500 0.804
0.000 0.000 0.466
```

As for the calculated total energy: -30.821 eV/cell. The formation energy is -0.1 eV/f.u. As for the space group: P4mm (99). The calculation puts the density at 11.3 g/cm3.